CdGa2HgPd: optimized geometry, PBE. Values from VASP.

Computed properties:
- symmetry = P4/mmm, No. 123
- total energy (eV per atom) = -2.612
- energy relative to the elements (eV per atom) = -0.1195
- DOS(E_F) (states/eV/f.u.) = 1.848

Structure (Quantum ESPRESSO input):
```
&SYSTEM
  ibrav = 0, nat = 5, ntyp = 4
/
ATOMIC_SPECIES
Cd 112.41 Cd.upf
Pd 106.42 Pd.upf
Hg 200.59 Hg.upf
Ga 69.72 Ga.upf
CELL_PARAMETERS angstrom
4.830 0.000 0.000
0.000 4.830 0.000
0.000 0.000 5.325
ATOMIC_POSITIONS angstrom
Cd 0.000 0.000 2.662
Pd 0.000 0.000 0.000
Hg 2.415 2.415 2.662
Ga 0.000 2.415 0.000
Ga 2.415 0.000 0.000
```



PmCdGaHg: optimized geometry, PBE. Values from VASP.

Computed properties:
- symmetry = F-43m, No. 216
- total energy (eV per atom) = -2.624
- energy relative to the elements (eV per atom) = -0.3752
- DOS(E_F) (states/eV/f.u.) = 0.927

Structure (Quantum ESPRESSO input):
```
&SYSTEM
  ibrav = 0, nat = 4, ntyp = 4
/
ATOMIC_SPECIES
Pm 145.00 Pm.upf
Ga 69.72 Ga.upf
Cd 112.41 Cd.upf
Hg 200.59 Hg.upf
CELL_PARAMETERS angstrom
5.098 0.000 0.000
2.549 4.415 0.000
2.549 1.472 4.162
ATOMIC_POSITIONS angstrom
Pm 2.549 1.472 1.041
Ga 0.000 0.000 0.000
Cd 7.647 4.415 3.122
Hg 5.098 2.943 2.081
```



Pm4CdGa2Hg: optimized geometry, PBE. Values from VASP.

Computed properties:
- symmetry = R-3m, No. 166
- total energy (eV per atom) = -3.756
- energy relative to the elements (eV per atom) = -0.4716
- DOS(E_F) (states/eV/f.u.) = 10.055

Structure (Quantum ESPRESSO input):
```
&SYSTEM
  ibrav = 0, nat = 8, ntyp = 4
/
ATOMIC_SPECIES
Pm 145.00 Pm.upf
Hg 200.59 Hg.upf
Ga 69.72 Ga.upf
Cd 112.41 Cd.upf
CELL_PARAMETERS angstrom
5.311 0.000 0.000
2.656 4.600 0.000
2.656 1.533 8.680
ATOMIC_POSITIONS angstrom
Pm 7.967 4.600 3.277
Hg 5.311 3.066 4.340
Ga 2.656 1.533 2.121
Cd 0.000 0.000 0.000
Pm 5.311 3.066 1.107
Pm 5.311 3.066 7.572
Ga 7.967 4.600 6.559
Pm 2.656 1.533 5.403
```



Pm4CdGaHg2: optimized geometry, PBE. Values from VASP.

Computed properties:
- symmetry = R-3m, No. 166
- total energy (eV per atom) = -3.392
- energy relative to the elements (eV per atom) = -0.4483
- DOS(E_F) (states/eV/f.u.) = 9.637

Structure (Quantum ESPRESSO input):
```
&SYSTEM
  ibrav = 0, nat = 8, ntyp = 4
/
ATOMIC_SPECIES
Hg 200.59 Hg.upf
Ga 69.72 Ga.upf
Pm 145.00 Pm.upf
Cd 112.41 Cd.upf
CELL_PARAMETERS angstrom
5.361 0.000 0.000
2.681 4.643 0.000
2.681 1.548 8.740
ATOMIC_POSITIONS angstrom
Hg 2.681 1.548 2.038
Ga 5.361 3.095 4.370
Pm 2.681 1.548 5.340
Cd 0.000 0.000 0.000
Pm 5.361 3.095 1.227
Hg 8.042 4.643 6.702
Pm 8.042 4.643 3.400
Pm 5.361 3.095 7.513
```



> Which value of energy relative to the elements does entry 1 give?

-0.1195 eV per atom